1.
VASP calculation (PBE-GGA) on a relaxed RbMo2S crystal.

Properties
- volume (Å³ per cell) = 211.1
- energy (eV/atom) = -5.84
- total moment (μB per formula unit) = 2.4

Cell: 4.9153 4.9153 9.4029 Å, 74.85 74.85 90.00°
Last column: nearest neighbours and their distance in Å.
Sites, in units of the cell vectors:
1 S 0.5000 0.5000 0.0000  4 Mo 2.51
2 Mo 0.3753 0.1250 0.2500  2 Mo 2.46, 2 S 2.51
3 Rb 0.7500 0.2500 0.5000  4 S 3.48, 8 Mo 3.51
4 Mo 0.3750 0.6247 0.7500  2 Mo 2.46, 2 S 2.51
5 Mo 0.8750 0.6253 0.7500  2 Mo 2.46, 2 S 2.51
6 S 0.2500 0.7500 0.5000  4 Mo 2.51
7 Mo 0.3747 0.6250 0.2500  2 Mo 2.46, 2 S 2.51
8 Rb 0.0000 0.0000 0.0000  4 S 3.48, 8 Mo 3.51

=====

2.
VASP calculation (PBE-GGA) on a relaxed RbMo6S8 crystal.

Properties
- volume (Å³ per cell) = 302.6
- energy (eV/atom) = -7.35
- total moment (μB per formula unit) = 0.0

Cell: 6.7153 6.7153 6.7153 Å, 88.69 88.69 88.69°
Last column: nearest neighbours and their distance in Å.
Sites, in units of the cell vectors:
1 S 0.8772 0.2703 0.5974  4 Mo 2.47-2.60
2 S 0.2703 0.5974 0.8772  4 Mo 2.47-2.60
3 Rb 0.0000 0.0000 0.0000  8 S 2.99-3.33
4 Mo 0.7654 0.5893 0.4346  5 S 2.39-2.60
5 S 0.5974 0.8772 0.2703  4 Mo 2.47-2.60
6 S 0.4026 0.1228 0.7297  4 Mo 2.47-2.60
7 S 0.1228 0.7297 0.4026  4 Mo 2.47-2.60
8 Mo 0.4107 0.5654 0.2346  5 S 2.39-2.60
9 S 0.2511 0.2511 0.2511  3 Mo 2.39
10 S 0.7489 0.7489 0.7489  3 Mo 2.39
11 Mo 0.2346 0.4107 0.5654  5 S 2.39-2.60
12 Mo 0.5654 0.2346 0.4107  5 S 2.39-2.60
13 Mo 0.4346 0.7654 0.5893  5 S 2.39-2.60
14 Mo 0.5893 0.4346 0.7654  5 S 2.39-2.60
15 S 0.7297 0.4026 0.1228  4 Mo 2.47-2.60

=====

3.
VASP calculation (PBE-GGA) on a relaxed RbMoS3 crystal.

Properties
- volume (Å³ per cell) = 110.7
- energy (eV/atom) = -5.40
- total moment (μB per formula unit) = 0.0
- ΔE to the lowest computed polymorph (meV per atom) = 267

Cell: 4.8010 4.8010 4.8010 Å, 90.00 90.00 90.00°
Last column: nearest neighbours and their distance in Å.
Sites, in units of the cell vectors:
1 S 0.0000 0.0000 0.5000  2 Mo 2.40
2 S 0.0000 0.5000 0.0000  2 Mo 2.40
3 Rb 0.5000 0.5000 0.5000  12 S 3.39
4 S 0.5000 0.0000 0.0000  2 Mo 2.40
5 Mo 0.0000 0.0000 0.0000  6 S 2.40

=====

The highest total moment belongs to which entry?
RbMo2S